# 1
Compound: Ce2TlInRu
Source: Alexandria via LeMat-Bulk
Functional: PBE
Structure: relaxed

Structure (extended XYZ):
```
10
Lattice="4.033 0.000 0.000 0.000 8.376 0.439 0.000 -3.073 7.659" Properties=species:S:1:pos:R:3 pbc="T T T"
Tl 1.008 2.615 5.317
Tl 3.025 2.687 2.781
Ru 1.008 4.627 7.238
Ru 3.025 0.676 0.860
Ce 1.008 -0.749 7.651
Ce 1.008 -0.181 2.569
Ce 3.025 5.484 5.529
Ce 3.025 6.052 0.447
In 1.008 4.926 2.795
In 3.025 0.377 5.303
```

Properties
- Final energy: -55.238 eV for the cell shown
- M_tot: 2.24 Bohr magnetons per cell
- E_form: -274 meV per atom
- Crystal system: monoclinic

---

# 2
Compound: Ba2LiInIr
Source: Alexandria via LeMat-Bulk
Functional: PBE
Structure: relaxed

Structure (extended XYZ):
```
5
Lattice="-3.915 4.679 0.352 -0.786 -0.202 -6.057 -3.974 -3.372 0.628" Properties=species:S:1:pos:R:3 pbc="T T T"
In -1.987 -1.686 0.314
Ir 0.000 0.000 0.000
Li -4.337 0.553 -2.538
Ba -1.957 2.340 0.176
Ba -0.393 -0.101 -3.028
```

Properties
- Final energy: -18.016 eV for the cell shown
- M_tot: 0.00 Bohr magnetons per cell
- E_form: -132 meV per atom
- Crystal system: tetragonal

---

# 3
Compound: SrMoW2
Source: Alexandria via LeMat-Bulk
Functional: PBE
Structure: relaxed

Structure (extended XYZ):
```
4
Lattice="-1.617 -2.728 -0.210 0.881 -0.750 2.960 -6.642 3.712 2.917" Properties=species:S:1:pos:R:3 pbc="T T T"
Mo -2.028 -0.811 2.104
W -2.870 1.604 1.260
W -0.451 0.252 0.198
Sr -5.349 1.045 3.563
```

Properties
- Excess energy over the best structure of this formula in the dataset: 92 meV per atom
- Final energy: -35.103 eV for the cell shown
- M_tot: 0.00 Bohr magnetons per cell
- E_form: 829 meV per atom
- Crystal system: tetragonal